# 1
A geometry-optimized Pm4Nd3PuSe8 structure. Source: Alexandria, functional GGA-PBE.

Summary:
raw formation energy	-1.81	eV per atom
space group	No. 166

```
data_Pm4Nd3PuSe8
_chemical_formula_sum 'Pm4 Nd3 Pu1 Se8'
_symmetry_space_group_name_H-M 'P 1'
_symmetry_Int_Tables_number 1
_cell_length_a 8.4051
_cell_length_b 8.4051
_cell_length_c 8.4051
_cell_angle_alpha 60.03
_cell_angle_beta 60.03
_cell_angle_gamma 60.03
loop_
_symmetry_equiv_pos_as_xyz
'x,y,z'
loop_
_atom_site_label
_atom_site_type_symbol
_atom_site_fract_x
_atom_site_fract_y
_atom_site_fract_z
Pm1 Pm 0.0000 0.0000 0.0000
Pm2 Pm 0.0000 0.5000 0.5000
Pm3 Pm 0.5000 0.0000 0.5000
Pm4 Pm 0.5000 0.5000 0.0000
Nd1 Nd 0.0000 0.0000 0.5000
Nd2 Nd 0.0000 0.5000 0.0000
Nd3 Nd 0.5000 0.0000 0.0000
Pu1 Pu 0.5000 0.5000 0.5000
Se1 Se 0.2510 0.2510 0.2510
Se2 Se 0.2519 0.2519 0.7462
Se3 Se 0.2519 0.7462 0.2519
Se4 Se 0.2538 0.7481 0.7481
Se5 Se 0.7462 0.2519 0.2519
Se6 Se 0.7481 0.2538 0.7481
Se7 Se 0.7481 0.7481 0.2538
Se8 Se 0.7490 0.7490 0.7490
```

***

# 2
A geometry-optimized PmNdPu2Te5 structure. Source: Alexandria, functional GGA-PBE.

Summary:
raw formation energy	-0.61	eV per atom
space group	No. 123

```
data_PmNdPu2Te5
_chemical_formula_sum 'Pm1 Nd1 Pu2 Te5'
_symmetry_space_group_name_H-M 'P 1'
_symmetry_Int_Tables_number 1
_cell_length_a 5.6943
_cell_length_b 5.6943
_cell_length_c 11.8359
_cell_angle_alpha 90.00
_cell_angle_beta 90.00
_cell_angle_gamma 90.00
loop_
_symmetry_equiv_pos_as_xyz
'x,y,z'
loop_
_atom_site_label
_atom_site_type_symbol
_atom_site_fract_x
_atom_site_fract_y
_atom_site_fract_z
Pm1 Pm 0.0000 0.0000 0.0000
Nd1 Nd 0.0000 0.0000 0.5000
Pu1 Pu 0.5000 0.5000 0.3310
Pu2 Pu 0.5000 0.5000 0.6690
Te1 Te 0.0000 0.0000 0.2445
Te2 Te 0.0000 0.0000 0.7555
Te3 Te 0.0000 0.5000 0.5000
Te4 Te 0.5000 0.0000 0.5000
Te5 Te 0.5000 0.5000 0.0000
```